a | Material: POsPbS2
Method: DFT, PBE
State: relaxed

Properties
- Spin magnetization: 0.3 μB per formula unit

Cell lengths 4.9763, 4.9763, 4.4719 Å; angles 90.00, 90.00, 90.00 degrees
Space group P4/mmm (No. 123)
Inequivalent atoms, fractional coordinates:
P  0.0000  0.0000  0.0000
Os  0.0000  0.0000  0.5000
Pb  0.5000  0.5000  0.0000
S  0.0000  0.5000  0.5000

***

b | Material: POsPbS2
Method: DFT, PBE
State: relaxed

Properties
- Spin magnetization: 3.9 μB per formula unit

Cell lengths 5.0452, 5.0452, 5.2306 Å; angles 90.00, 90.00, 90.00 degrees
Space group P4/mmm (No. 123)
Inequivalent atoms, fractional coordinates:
P  0.0000  0.0000  0.0000
Os  0.5000  0.5000  0.0000
Pb  0.0000  0.0000  0.5000
S  0.0000  0.5000  0.5000

***

Tell me which of them is the least stable. Sure, it is b.

***

a | Material: POs3Pd
Method: DFT, PBE
State: relaxed

Properties
- Spin magnetization: 4.9 μB per formula unit

Cell lengths 4.7316, 4.7316, 4.7316 Å; angles 90.00, 90.00, 90.00 degrees
Space group Pm-3m (No. 221)
Inequivalent atoms, fractional coordinates:
P  0.0000  0.0000  0.0000
Os  0.0000  0.5000  0.5000
Pd  0.5000  0.5000  0.5000

***

b | Material: POs3Pd
Method: DFT, PBE
State: relaxed

Properties
- Spin magnetization: 0.0 μB per formula unit

Cell lengths 4.3365, 4.3365, 4.3365 Å; angles 90.00, 90.00, 90.00 degrees
Space group Pm-3m (No. 221)
Inequivalent atoms, fractional coordinates:
P  0.0000  0.0000  0.0000
Os  0.0000  0.0000  0.5000
Pd  0.5000  0.5000  0.5000

***

Tell me which of them is the least stable. Sure, it is a.

***

a | Material: PmPOs
Method: DFT, PBE
State: relaxed

Properties
- Spin magnetization: 0.0 μB per formula unit

Cell lengths 3.1013, 3.1013, 11.2529 Å; angles 90.00, 90.00, 90.00 degrees
Space group I4mm (No. 107)
Inequivalent atoms, fractional coordinates:
Pm  0.0000  0.0000  0.0000
P  0.0000  0.0000  0.6999
Os  0.0000  0.0000  0.2976

***

b | Material: PmPOs
Method: DFT, PBE
State: relaxed

Properties
- Spin magnetization: 0.0 μB per formula unit

Cell lengths 4.0197, 4.0197, 4.3478 Å; angles 90.00, 90.00, 120.00 degrees
Space group P-6m2 (No. 187)
Inequivalent atoms, fractional coordinates:
Pm  0.0000  0.0000  0.0000
P  0.3333  0.6667  0.5000
Os  0.6667  0.3333  0.5000

***

Tell me which of them is the least stable. Sure, it is a.

***

a | Material: POsPtS2
Method: DFT, PBE
State: relaxed

Properties
- Spin magnetization: 0.0 μB per formula unit

Cell lengths 4.4027, 4.4027, 5.0058 Å; angles 90.00, 90.00, 90.00 degrees
Space group P4/mmm (No. 123)
Inequivalent atoms, fractional coordinates:
P  0.0000  0.0000  0.0000
Os  0.0000  0.0000  0.5000
Pt  0.5000  0.5000  0.0000
S  0.0000  0.5000  0.5000

***

b | Material: POsPtS2
Method: DFT, PBE
State: relaxed

Properties
- Spin magnetization: 0.2 μB per formula unit

Cell lengths 4.6191, 4.6191, 4.5147 Å; angles 90.00, 90.00, 90.00 degrees
Space group P4/mmm (No. 123)
Inequivalent atoms, fractional coordinates:
P  0.0000  0.0000  0.0000
Os  0.5000  0.5000  0.0000
Pt  0.0000  0.0000  0.5000
S  0.0000  0.5000  0.5000

***

Tell me which of them is the least stable. Sure, it is b.

***

a | Material: RbP2Os
Method: DFT, PBE
State: relaxed

Properties
- Spin magnetization: 0.0 μB per formula unit

Cell lengths 6.8965, 6.8965, 10.0058 Å; angles 90.00, 90.00, 90.00 degrees
Space group I-42d (No. 122)
Inequivalent atoms, fractional coordinates:
Rb  0.0000  0.0000  0.0000
P  0.0887  0.2500  0.6250
Os  0.0000  0.0000  0.5000

***

b | Material: RbP2Os
Method: DFT, PBE
State: relaxed

Properties
- Spin magnetization: 0.0 μB per formula unit

Cell lengths 6.5247, 6.5247, 6.5247 Å; angles 90.00, 90.00, 90.00 degrees
Space group Fm-3m (No. 225)
Inequivalent atoms, fractional coordinates:
Rb  0.0000  0.0000  0.0000
P  0.2500  0.2500  0.2500
Os  0.0000  0.0000  0.5000

***

Tell me which of them is the least stable. Sure, it is b.

***

a | Material: RbP3Os
Method: DFT, PBE
State: relaxed

Properties
- Spin magnetization: 0.0 μB per formula unit

Cell lengths 4.9138, 4.9138, 4.9138 Å; angles 90.00, 90.00, 90.00 degrees
Space group Pm-3m (No. 221)
Inequivalent atoms, fractional coordinates:
Rb  0.0000  0.0000  0.0000
P  0.0000  0.0000  0.5000
Os  0.5000  0.5000  0.5000

***

b | Material: RbP3Os
Method: DFT, PBE
State: relaxed

Properties
- Spin magnetization: 0.0 μB per formula unit

Cell lengths 4.7695, 4.7695, 4.7695 Å; angles 90.00, 90.00, 90.00 degrees
Space group Pm-3m (No. 221)
Inequivalent atoms, fractional coordinates:
Rb  0.0000  0.0000  0.0000
P  0.0000  0.5000  0.5000
Os  0.5000  0.5000  0.5000

***

Tell me which of them is the least stable. Sure, it is a.

***

a | Material: RbP2OsS
Method: DFT, PBE
State: relaxed

Properties
- Spin magnetization: 0.0 μB per formula unit

Cell lengths 5.0711, 5.0711, 5.1227 Å; angles 90.00, 90.00, 90.00 degrees
Space group P4/mmm (No. 123)
Inequivalent atoms, fractional coordinates:
Rb  0.0000  0.0000  0.0000
P  0.0000  0.5000  0.0000
Os  0.5000  0.5000  0.5000
S  0.0000  0.0000  0.5000

***

b | Material: RbP2OsS
Method: DFT, PBE
State: relaxed

Properties
- Spin magnetization: 0.0 μB per formula unit

Cell lengths 4.5424, 4.5424, 5.5787 Å; angles 90.00, 90.00, 90.00 degrees
Space group P4/mmm (No. 123)
Inequivalent atoms, fractional coordinates:
Rb  0.0000  0.0000  0.0000
P  0.0000  0.5000  0.5000
Os  0.5000  0.5000  0.5000
S  0.5000  0.5000  0.0000

***

Tell me which of them is the least stable. Sure, it is a.

***

a | Material: RbPOsS2
Method: DFT, PBE
State: relaxed

Properties
- Spin magnetization: 0.9 μB per formula unit

Cell lengths 4.9695, 4.9695, 4.5206 Å; angles 90.00, 90.00, 90.00 degrees
Space group P4/mmm (No. 123)
Inequivalent atoms, fractional coordinates:
Rb  0.0000  0.0000  0.0000
P  0.5000  0.5000  0.0000
Os  0.5000  0.5000  0.5000
S  0.0000  0.5000  0.5000

***

b | Material: RbPOsS2
Method: DFT, PBE
State: relaxed

Properties
- Spin magnetization: 0.9 μB per formula unit

Cell lengths 5.1739, 5.1739, 5.2239 Å; angles 90.00, 90.00, 90.00 degrees
Space group P4/mmm (No. 123)
Inequivalent atoms, fractional coordinates:
Rb  0.0000  0.0000  0.0000
P  0.0000  0.0000  0.5000
Os  0.5000  0.5000  0.5000
S  0.0000  0.5000  0.0000

***

Tell me which of them is the least stable. Sure, it is b.